First-principles (PBE) data for a relaxed structure of Tb2Be2Si3, as listed in Alexandria via LeMat-Bulk.

Cell: 9.235 9.235 6.659 Å, 90.00 90.00 155.48°
Fractional positions:
Tb 0.048 0.952 0.750
Tb 0.168 0.832 0.250
Tb 0.832 0.168 0.750
Tb 0.952 0.048 0.250
Be 0.334 0.666 0.093
Be 0.334 0.666 0.407
Be 0.666 0.334 0.593
Be 0.666 0.334 0.907
Si 0.209 0.791 0.750
Si 0.439 0.561 0.574
Si 0.439 0.561 0.926
Si 0.561 0.439 0.074
Si 0.561 0.439 0.426
Si 0.791 0.209 0.250

**SG**: No. 63
**Formation energy without anion corrections**: -0.499 eV per atom
**Raw total energy**: -5.21 eV/atom

=====

First-principles (PBE) data for a relaxed structure of Tb2Be4Si3Tc, as listed in Alexandria via LeMat-Bulk.

Cell: 3.803 3.803 10.050 Å, 90.00 90.00 90.00°
Fractional positions:
Tb 0.000 0.500 0.242
Tb 0.500 0.000 0.758
Be 0.000 0.000 0.000
Be 0.000 0.500 0.640
Be 0.500 0.000 0.360
Be 0.500 0.500 0.000
Si 0.000 0.500 0.870
Si 0.500 0.000 0.130
Si 0.500 0.500 0.500
Tc 0.000 0.000 0.500

**SG**: No. 115
**Formation energy without anion corrections**: -0.390 eV per atom
**Raw total energy**: -5.47 eV/atom

=====

First-principles (PBE) data for a relaxed structure of BeSi2Tc, as listed in Alexandria via LeMat-Bulk.

Cell: 2.681 2.681 7.397 Å, 90.00 90.00 103.90°
Fractional positions:
Be 0.000 0.000 0.000
Si 0.000 0.000 0.511
Si 0.500 0.500 0.227
Tc 0.500 0.500 0.767

**SG**: No. 35
**Formation energy without anion corrections**: 0.244 eV per atom
**Raw total energy**: -5.99 eV/atom

=====

First-principles (PBE) data for a relaxed structure of Be5Si2Tc, as listed in Alexandria via LeMat-Bulk.

Cell: 4.243 4.617 4.972 Å, 74.54 89.73 63.18°
Fractional positions:
Be 0.000 0.000 0.000
Be 0.004 0.005 0.483
Be 0.426 0.534 0.357
Be 0.512 0.017 0.241
Be 0.904 0.550 0.580
Si 0.488 0.036 0.711
Si 0.937 0.481 0.126
Tc 0.421 0.516 0.861

**SG**: No. 1
**Formation energy without anion corrections**: -0.072 eV per atom
**Raw total energy**: -5.05 eV/atom

=====

First-principles (PBE) data for a relaxed structure of Be2SiTc, as listed in Alexandria via LeMat-Bulk.

Cell: 2.534 2.534 7.301 Å, 90.00 90.00 90.00°
Fractional positions:
Be 0.000 0.000 0.244
Be 0.000 0.000 0.756
Si 0.500 0.500 0.500
Tc 0.500 0.500 0.000

**SG**: No. 123
**Formation energy without anion corrections**: 0.249 eV per atom
**Raw total energy**: -5.56 eV/atom

=====

First-principles (PBE) data for a relaxed structure of Be2SiTc, as listed in Alexandria via LeMat-Bulk.

Cell: 4.466 4.466 4.466 Å, 137.74 132.95 65.07°
Fractional positions:
Be 0.000 0.000 0.000
Be 0.765 0.265 0.500
Si 0.257 0.757 0.500
Tc 0.514 0.514 0.000

**SG**: No. 44
**Formation energy without anion corrections**: -0.348 eV per atom
**Raw total energy**: -6.16 eV/atom

=====

First-principles (PBE) data for a relaxed structure of BeSiTc2, as listed in Alexandria via LeMat-Bulk.

Cell: 6.146 6.146 6.146 Å, 152.95 148.69 41.84°
Fractional positions:
Be 0.000 0.000 0.000
Si 0.500 0.500 0.000
Tc 0.190 0.190 0.000
Tc 0.810 0.810 0.000

**SG**: No. 71
**Formation energy without anion corrections**: 0.477 eV per atom
**Raw total energy**: -6.99 eV/atom

=====

First-principles (PBE) data for a relaxed structure of Be2SiTc, as listed in Alexandria via LeMat-Bulk.

Cell: 7.815 7.815 7.815 Å, 19.78 19.78 19.78°
Fractional positions:
Be 0.250 0.250 0.250
Be 0.750 0.750 0.750
Si 0.000 0.000 0.000
Tc 0.500 0.500 0.500

**SG**: No. 166
**Formation energy without anion corrections**: 0.281 eV per atom
**Raw total energy**: -5.53 eV/atom

=====

> Which value of raw total energy does entry 3 give?

-5.99 eV/atom

=====

> The lowest formation energy without anion corrections belongs to which entry?

Tb2Be2Si3

=====

> What is the formation energy without anion corrections in the fifth record?

0.249 eV per atom

=====

> Among the records above, which one has the lowest raw total energy?

BeSiTc2